Model P:
This record from the Alexandria database describes a relaxed MoRu2Br crystal. The functional is PBE.

a b c (Å): 2.921 4.690 4.496
angles (deg): 90.00 90.00 90.00
Fractional positions:
Ru1 0.000 0.000 0.000
Ru2 0.500 0.500 0.000
Mo1 0.000 0.500 0.500
Br1 0.500 0.000 0.500

Computed properties:
- Volume: 15.4 A^3/atom
- Space-group type: Pmmm, No. 47

Model Q:
This record from the Alexandria database describes a relaxed MoRu2Br crystal. The functional is PBE.

a b c (Å): 4.956 4.956 4.956
angles (deg): 133.91 133.91 67.22
Fractional positions:
Ru1 0.000 0.000 0.000
Ru2 0.250 0.750 0.500
Mo1 0.750 0.250 0.500
Br1 0.500 0.500 0.000

Computed properties:
- Volume: 15.5 A^3/atom
- Space-group type: I-4m2, No. 119

How do the energies compare? Relative to the most stable structure, in meV per atom: model P 0; model Q 200.

Model P:
This record from the Alexandria database describes a relaxed MoRu2Br crystal. The functional is PBE.

a b c (Å): 5.273 5.273 5.273
angles (deg): 147.52 128.95 61.82
Fractional positions:
Ru1 0.984 0.984 0.000
Ru2 0.516 0.516 0.000
Mo1 0.250 0.750 0.500
Br1 0.750 0.250 0.500

Computed properties:
- Volume: 15.2 A^3/atom
- Space-group type: Immm, No. 71

Model Q:
This record from the Alexandria database describes a relaxed MoRu2Br crystal. The functional is PBE.

a b c (Å): 4.674 4.674 2.919
angles (deg): 90.00 90.00 101.25
Fractional positions:
Ru1 0.000 0.000 0.000
Ru2 0.500 0.500 0.000
Mo1 0.000 0.500 0.500
Br1 0.500 0.000 0.500

Computed properties:
- Volume: 15.6 A^3/atom
- Space-group type: Cmmm, No. 65

How do the energies compare? Relative to the most stable structure, in meV per atom: model P 0; model Q 177.

Model P:
This record from the Alexandria database describes a relaxed MoRu3Br crystal. The functional is PBE.

a b c (Å): 4.764 4.764 4.764
angles (deg): 90.00 90.00 90.00
Fractional positions:
Ru1 0.000 0.500 0.000
Ru2 0.000 0.000 0.500
Ru3 0.500 0.000 0.000
Mo1 0.000 0.000 0.000
Br1 0.500 0.500 0.500

Computed properties:
- Volume: 21.6 A^3/atom
- Space-group type: Pm-3m, No. 221

Model Q:
This record from the Alexandria database describes a relaxed MoRu3Br crystal. The functional is PBE.

a b c (Å): 4.487 4.487 4.487
angles (deg): 90.00 90.00 90.00
Fractional positions:
Ru1 0.000 0.500 0.000
Ru2 0.000 0.000 0.500
Ru3 0.500 0.000 0.000
Mo1 0.500 0.500 0.500
Br1 0.000 0.000 0.000

Computed properties:
- Volume: 18.1 A^3/atom
- Space-group type: Pm-3m, No. 221

How do the energies compare? Relative to the most stable structure, in meV per atom: model P 0; model Q 92.

Model P:
This record from the Alexandria database describes a relaxed Mo2Ru2Br crystal. The functional is PBE.

a b c (Å): 7.563 7.563 2.945
angles (deg): 90.00 90.00 90.00
Fractional positions:
Ru1 0.134 0.634 0.500
Ru2 0.634 0.866 0.500
Ru3 0.866 0.366 0.500
Ru4 0.366 0.134 0.500
Mo1 0.348 0.848 0.000
Mo2 0.848 0.652 0.000
Mo3 0.652 0.152 0.000
Mo4 0.152 0.348 0.000
Br1 0.000 0.000 0.000
Br2 0.500 0.500 0.000

Computed properties:
- Volume: 16.8 A^3/atom
- Space-group type: P4/mbm, No. 127

Model Q:
This record from the Alexandria database describes a relaxed Mo2Ru2Br crystal. The functional is PBE.

a b c (Å): 3.815 3.815 7.011
angles (deg): 74.21 74.21 90.00
Fractional positions:
Ru1 0.750 0.250 0.500
Ru2 0.250 0.750 0.500
Mo1 0.377 0.377 0.245
Mo2 0.623 0.623 0.755
Br1 0.000 0.000 0.000

Computed properties:
- Volume: 18.8 A^3/atom
- Space-group type: I4/mmm, No. 139

How do the energies compare? Relative to the most stable structure, in meV per atom: model P 0; model Q 212.

Model P:
This record from the Alexandria database describes a relaxed MoSBr crystal. The functional is PBE.

a b c (Å): 7.125 7.125 7.125
angles (deg): 60.00 60.00 60.00
Fractional positions:
Mo1 0.545 0.152 0.152
Mo2 0.152 0.545 0.152
Mo3 0.152 0.152 0.152
Mo4 0.152 0.152 0.545
S1 0.381 0.381 0.381
S2 0.857 0.381 0.381
S3 0.381 0.381 0.857
S4 0.381 0.857 0.381
Br1 0.364 0.879 0.879
Br2 0.879 0.879 0.879
Br3 0.879 0.364 0.879
Br4 0.879 0.879 0.364

Computed properties:
- Volume: 21.3 A^3/atom
- Space-group type: F-43m, No. 216

Model Q:
This record from the Alexandria database describes a relaxed MoSBr crystal. The functional is PBE.

a b c (Å): 3.432 7.304 7.707
angles (deg): 98.25 102.87 90.00
Fractional positions:
Br1 0.400 0.205 0.801
Br2 0.600 0.795 0.199
Mo1 0.310 0.454 0.620
Mo2 0.690 0.546 0.380
S1 0.841 0.681 0.682
S2 0.159 0.319 0.318

Computed properties:
- Volume: 31.1 A^3/atom
- Space-group type: C2/m, No. 12

Model R:
This record from the Alexandria database describes a relaxed MoSBr crystal. The functional is PBE.

a b c (Å): 3.271 10.021 4.342
angles (deg): 90.00 90.00 89.94
Fractional positions:
Mo1 0.956 0.373 0.817
Mo2 0.955 0.533 0.317
S1 0.456 0.350 0.316
S2 0.456 0.556 0.816
Br1 0.957 0.127 0.817
Br2 0.955 0.779 0.317

Computed properties:
- Volume: 23.7 A^3/atom
- Space-group type: P2_1/m, No. 11

How do the energies compare? Relative to the most stable structure, in meV per atom: model P 0; model Q 229; model R 372.

Model P:
This record from the Alexandria database describes a relaxed MoSBr2 crystal. The functional is PBE.

a b c (Å): 4.706 4.706 4.706
angles (deg): 60.00 60.00 60.00
Fractional positions:
Mo1 0.500 0.500 0.500
S1 0.000 0.000 0.000
Br1 0.250 0.250 0.250
Br2 0.750 0.750 0.750

Computed properties:
- Volume: 18.4 A^3/atom
- Space-group type: Fm-3m, No. 225

Model Q:
This record from the Alexandria database describes a relaxed MoSBr2 crystal. The functional is PBE.

a b c (Å): 9.616 9.616 7.170
angles (deg): 47.89 47.89 90.00
Fractional positions:
Mo1 0.000 0.000 0.000
Mo2 0.750 0.250 0.500
S1 0.500 0.500 0.000
S2 0.250 0.750 0.500
Br1 0.773 0.125 0.250
Br2 0.977 0.625 0.250
Br3 0.375 0.227 0.750
Br4 0.875 0.023 0.750

Computed properties:
- Volume: 26.3 A^3/atom
- Space-group type: I-42d, No. 122

How do the energies compare? Relative to the most stable structure, in meV per atom: model P 1069; model Q 0.